DFT (GGA-PBE) results for an optimized crystal structure of K2MnCu.

Properties
M_tot: 4.49 Bohr magnetons per cell
distance to the lowest polymorph of the same formula: 316 meV per atom
space group: I-4m2 (119)
energy of formation from the pure elements: 0.82 eV per atom

Unit cell a=5.468 b=5.468 c=5.468 alpha=119.78 beta=119.78 gamma=90.38
Fractional positions:
K (0.000, 0.000, 0.000)
K (0.750, 0.250, 0.500)
Mn (0.500, 0.500, 0.000)
Cu (0.250, 0.750, 0.500)